[1]
Compound: LaCr2Br
Source: Alexandria
Functional: GGA-PBE
Structure: relaxed

```
LaCr2Br
1.0
3.459 0.000 0.000
0.000 3.459 0.000
0.000 0.000 7.859
La Cr Br
1 2 1
Direct
0.000 0.000 0.000
0.000 0.000 0.598
0.500 0.500 0.712
0.500 0.500 0.261
```

Summary:
For the energy, the calculation gives -25.70 eV for the cell shown. For the energy relative to the lowest polymorph listed for this composition, the calculation gives 0.024 eV/atom. The calculation puts the density of states at the Fermi level at 2.3 states/eV per cell. The uncorrected formation energy is 0.037 eV per atom.

---

[2]
Compound: Ti3GaHg
Source: Alexandria
Functional: GGA-PBE
Structure: relaxed

```
Ti3GaHg
1.0
4.713 0.000 0.000
0.000 4.713 0.000
0.000 0.000 4.713
Ti Ga Hg
3 1 1
Direct
0.000 0.000 0.500
0.000 0.500 0.000
0.500 0.000 0.000
0.000 0.000 0.000
0.500 0.500 0.500
```

Summary:
For the formation energy, the calculation gives 2.31 eV/f.u. For the energy, the calculation gives -24.70 eV for the cell shown. For the energy relative to the lowest polymorph listed for this composition, the calculation gives 0.623 eV/atom. The calculation puts the density of states at the Fermi level at 4.1 states/eV per cell.

---

[3]
Compound: InSiCl
Source: Alexandria
Functional: GGA-PBE
Structure: relaxed

```
InSiCl
1.0
0.000 3.455 3.455
3.455 0.000 3.455
3.455 3.455 0.000
In Si Cl
1 1 1
Direct
0.000 0.000 0.000
0.250 0.250 0.250
0.750 0.750 0.750
```

Summary:
For the energy, the calculation gives -8.78 eV for the cell shown. The calculation puts the density of states at the Fermi level at 2.3 states/eV per cell. The uncorrected formation energy is 0.409 eV per atom.

---

[4]
Compound: SrZnMo2
Source: Alexandria
Functional: GGA-PBE
Structure: relaxed

```
SrZnMo2
1.0
3.305 0.000 0.000
0.000 3.325 0.000
-0.280 0.000 7.604
Sr Zn Mo
1 1 2
Direct
0.000 0.000 0.000
0.523 0.500 0.313
0.046 0.000 0.514
0.495 0.500 0.677
```

Summary:
For the formation energy, the calculation gives 1.34 eV/f.u. For the energy, the calculation gives -23.28 eV for the cell shown. The calculation puts the density of states at the Fermi level at 3.7 states/eV per cell.

---

[5]
Compound: TaReTc4
Source: Alexandria
Functional: GGA-PBE
Structure: relaxed

```
TaReTc4
1.0
0.000 3.603 3.603
3.603 0.000 3.603
3.603 3.603 0.000
Ta Re Tc
1 1 4
Direct
0.000 0.000 0.000
0.250 0.250 0.250
0.122 0.626 0.626
0.626 0.122 0.626
0.626 0.626 0.122
0.626 0.626 0.626
```

Summary:
For the formation energy, the calculation gives 0.62 eV/f.u. For the energy, the calculation gives -65.15 eV for the cell shown. The calculation puts the density of states at the Fermi level at 5.1 states/eV per cell.

---

[6]
Compound: LiCa2TmTl4
Source: Alexandria
Functional: GGA-PBE
Structure: relaxed

```
LiCa2TmTl4
1.0
2.665 1.539 8.763
-2.665 1.539 8.763
0.000 -3.077 8.763
Li Ca Tm Tl
1 2 1 4
Direct
0.000 0.000 0.000
0.252 0.252 0.252
0.748 0.748 0.748
0.500 0.500 0.500
0.123 0.123 0.123
0.374 0.374 0.374
0.626 0.626 0.626
0.877 0.877 0.877
```

Summary:
For the formation energy, the calculation gives -2.67 eV/f.u. For the energy, the calculation gives -22.52 eV for the cell shown. The calculation puts the density of states at the Fermi level at 5.2 states/eV per cell.

---

[7]
Compound: OsRhPb2
Source: Alexandria
Functional: GGA-PBE
Structure: relaxed

```
OsRhPb2
1.0
1.532 0.885 10.753
-1.532 0.885 10.753
0.000 -1.769 10.753
Os Rh Pb
1 1 2
Direct
0.000 0.000 0.000
0.273 0.273 0.273
0.530 0.530 0.530
0.744 0.744 0.744
```

Summary:
For the formation energy, the calculation gives 2.36 eV/f.u. For the energy, the calculation gives -23.64 eV for the cell shown. For the energy relative to the lowest polymorph listed for this composition, the calculation gives 0.189 eV/atom. The calculation puts the density of states at the Fermi level at 4.1 states/eV per cell.

---

[8]
Compound: Al2CdB2O7
Source: Alexandria
Functional: GGA-PBE
Structure: relaxed

```
Al2CdB2O7
1.0
2.413 1.393 7.849
-2.413 1.393 7.849
0.000 -2.787 7.849
Al Cd B O
2 1 2 7
Direct
0.072 0.072 0.072
0.928 0.928 0.928
0.500 0.500 0.500
0.232 0.232 0.232
0.768 0.768 0.768
0.000 0.000 0.000
0.040 0.470 0.800
0.200 0.530 0.960
0.470 0.800 0.040
0.530 0.960 0.200
0.800 0.040 0.470
0.960 0.200 0.530
```

Summary:
For the energy, the calculation gives -86.08 eV for the cell shown. The calculation puts the density of states at the Fermi level at 0.0 states/eV per cell. The uncorrected formation energy is -2.468 eV per atom.

---

It is found that the density values, taken in the order of the records, are 5.70 6.57 3.59 6.85 13.48 8.27 13.44 3.15 g cm⁻³.